# 1
First-principles (GGA-PBE) data for a relaxed IrSeNO2 crystal, as listed in Alexandria.

Lattice parameters (Å, degrees): 3.9400 3.9400 3.8750 90.00 90.00 90.00
With the nearest neighbours (Å) after each atom.
Element x y z (fractional)
Ir 0.0000 0.0000 0.0000  2 N 1.94, 4 O 1.97
O 0.0000 0.5000 0.0000  2 Ir 1.97
O 0.5000 0.0000 0.0000  2 Ir 1.97
Se 0.5000 0.5000 0.5000  8 O 2.76, 4 N 2.79
N 0.0000 0.0000 0.5000  2 Ir 1.94



# 2
First-principles (GGA-PBE) data for a relaxed SrIrN2O crystal, as listed in Alexandria.

Lattice parameters (Å, degrees): 3.8176 3.8176 4.5232 90.00 90.00 90.00
With the nearest neighbours (Å) after each atom.
Element x y z (fractional)
Sr 0.5000 0.5000 0.5000  4 O 2.70, 8 N 2.96
Ir 0.0000 0.0000 0.0000  4 N 1.91
O 0.0000 0.0000 0.5000  2 Ir 2.26
N 0.0000 0.5000 0.0000  2 Ir 1.91
N 0.5000 0.0000 0.0000  2 Ir 1.91



# 3
First-principles (GGA-PBE) data for a relaxed SrIrN2O crystal, as listed in Alexandria.

Lattice parameters (Å, degrees): 4.7857 4.7857 4.4131 90.00 90.00 90.00
With the nearest neighbours (Å) after each atom.
Element x y z (fractional)
Sr 0.0000 0.0000 0.0000  2 O 2.21, 4 N 2.39
Ir 0.5000 0.5000 0.5000  8 N 3.25, 4 O 3.38
O 0.0000 0.0000 0.5000  2 Sr 2.21
N 0.0000 0.5000 0.0000  2 Sr 2.39
N 0.5000 0.0000 0.0000  2 Sr 2.39



# 4
First-principles (GGA-PBE) data for a relaxed TaIrN2O crystal, as listed in Alexandria.

Lattice parameters (Å, degrees): 3.8791 3.8791 3.8341 90.00 90.00 90.00
With the nearest neighbours (Å) after each atom.
Element x y z (fractional)
N 0.0000 0.5000 0.0000  2 Ir 1.94
N 0.5000 0.0000 0.0000  2 Ir 1.94
Ir 0.0000 0.0000 0.0000  2 O 1.92, 4 N 1.94
O 0.0000 0.0000 0.5000  2 Ir 1.92
Ta 0.5000 0.5000 0.5000  8 N 2.73, 4 O 2.74



# 5
First-principles (GGA-PBE) data for a relaxed TaIrN2O crystal, as listed in Alexandria.

Lattice parameters (Å, degrees): 4.0981 4.0981 3.8326 90.00 90.00 90.00
With the nearest neighbours (Å) after each atom.
Element x y z (fractional)
N 0.0000 0.5000 0.0000  2 Ta 2.05
N 0.5000 0.0000 0.0000  2 Ta 2.05
Ir 0.5000 0.5000 0.5000  8 N 2.81, 4 O 2.90
O 0.0000 0.0000 0.5000  2 Ta 1.92
Ta 0.0000 0.0000 0.0000  2 O 1.92, 4 N 2.05



# 6
First-principles (GGA-PBE) data for a relaxed TcIrN2O crystal, as listed in Alexandria.

Lattice parameters (Å, degrees): 3.9421 3.9421 3.7543 90.00 90.00 90.00
With the nearest neighbours (Å) after each atom.
Element x y z (fractional)
Ir 0.5000 0.5000 0.5000  8 N 2.72, 4 O 2.79
Tc 0.0000 0.0000 0.0000  2 O 1.88, 4 N 1.97
O 0.0000 0.0000 0.5000  2 Tc 1.88
N 0.0000 0.5000 0.0000  2 Tc 1.97
N 0.5000 0.0000 0.0000  2 Tc 1.97



# 7
First-principles (GGA-PBE) data for a relaxed TcIrN2O crystal, as listed in Alexandria.

Lattice parameters (Å, degrees): 3.8610 3.8610 3.9927 90.00 90.00 90.00
With the nearest neighbours (Å) after each atom.
Element x y z (fractional)
Ir 0.0000 0.0000 0.0000  4 N 1.93, 2 O 2.00
Tc 0.5000 0.5000 0.5000  4 O 2.73, 8 N 2.78
O 0.0000 0.0000 0.5000  2 Ir 2.00
N 0.0000 0.5000 0.0000  2 Ir 1.93
N 0.5000 0.0000 0.0000  2 Ir 1.93



# 8
First-principles (GGA-PBE) data for a relaxed TeIrN2O crystal, as listed in Alexandria.

Lattice parameters (Å, degrees): 3.9407 3.9407 4.0193 90.00 90.00 90.00
With the nearest neighbours (Å) after each atom.
Element x y z (fractional)
Ir 0.0000 0.0000 0.0000  4 N 1.97, 2 O 2.01
Te 0.5000 0.5000 0.5000  4 O 2.79, 8 N 2.81
O 0.0000 0.0000 0.5000  2 Ir 2.01
N 0.0000 0.5000 0.0000  2 Ir 1.97
N 0.5000 0.0000 0.0000  2 Ir 1.97



# 9
First-principles (GGA-PBE) data for a relaxed TeIrN2O crystal, as listed in Alexandria.

Lattice parameters (Å, degrees): 4.0545 4.0545 3.8108 90.00 90.00 90.00
With the nearest neighbours (Å) after each atom.
Element x y z (fractional)
Ir 0.5000 0.5000 0.5000  8 N 2.78, 4 O 2.87
Te 0.0000 0.0000 0.0000  2 O 1.91, 4 N 2.03
O 0.0000 0.0000 0.5000  2 Te 1.91
N 0.0000 0.5000 0.0000  2 Te 2.03
N 0.5000 0.0000 0.0000  2 Te 2.03



# 10
First-principles (GGA-PBE) data for a relaxed TeIrN2O crystal, as listed in Alexandria.

Lattice parameters (Å, degrees): 3.6789 3.6789 5.9201 90.00 90.00 90.00
With the nearest neighbours (Å) after each atom.
Element x y z (fractional)
Ir 0.0000 0.0000 0.0000  4 N 1.84
Te 0.0000 0.0000 0.5000  4 O 2.60
O 0.5000 0.5000 0.5000  4 Te 2.60
N 0.0000 0.5000 0.0000  2 Ir 1.84
N 0.5000 0.0000 0.0000  2 Ir 1.84



# 11
First-principles (GGA-PBE) data for a relaxed TeIrN2O crystal, as listed in Alexandria.

Lattice parameters (Å, degrees): 3.8793 3.8793 4.1739 90.00 90.00 90.00
With the nearest neighbours (Å) after each atom.
Element x y z (fractional)
Ir 0.5000 0.5000 0.5000  4 Te 2.74, 8 N 2.85
Te 0.0000 0.0000 0.5000  2 O 2.09
O 0.0000 0.0000 0.0000  4 N 1.94, 2 Te 2.09
N 0.0000 0.5000 0.0000  2 O 1.94
N 0.5000 0.0000 0.0000  2 O 1.94



# 12
First-principles (GGA-PBE) data for a relaxed TiIrNO2 crystal, as listed in Alexandria.

Lattice parameters (Å, degrees): 3.7427 3.7427 4.1362 90.00 90.00 90.00
With the nearest neighbours (Å) after each atom.
Element x y z (fractional)
N 0.0000 0.0000 0.5000  2 Ti 2.07
Ir 0.5000 0.5000 0.5000  4 N 2.65, 8 O 2.79
O 0.0000 0.5000 0.0000  2 Ti 1.87
O 0.5000 0.0000 0.0000  2 Ti 1.87
Ti 0.0000 0.0000 0.0000  4 O 1.87, 2 N 2.07



# 13
First-principles (GGA-PBE) data for a relaxed TiIrNO2 crystal, as listed in Alexandria.

Lattice parameters (Å, degrees): 3.9123 3.9123 3.8255 90.00 90.00 90.00
With the nearest neighbours (Å) after each atom.
Element x y z (fractional)
N 0.0000 0.0000 0.5000  2 Ir 1.91
Ir 0.0000 0.0000 0.0000  2 N 1.91, 4 O 1.96
O 0.0000 0.5000 0.0000  2 Ir 1.96
O 0.5000 0.0000 0.0000  2 Ir 1.96
Ti 0.5000 0.5000 0.5000  8 O 2.74, 4 N 2.77



# 14
First-principles (GGA-PBE) data for a relaxed Tl3IrN6O12 crystal, as listed in Alexandria.

Lattice parameters (Å, degrees): 8.3096 8.3096 8.3096 60.00 60.00 60.00
With the nearest neighbours (Å) after each atom.
Element x y z (fractional)
Tl 0.7500 0.7500 0.7500  12 O 3.01
Tl 0.2500 0.2500 0.2500  12 O 3.01
Tl 0.5000 0.5000 0.5000  6 N 3.89, 24 O 4.20
Ir 0.0000 0.0000 0.0000  6 N 1.99
N 0.8308 0.1692 0.1692  1 Ir 1.99
N 0.8308 0.8308 0.1692  1 Ir 1.99
N 0.1692 0.8308 0.8308  1 Ir 1.99
N 0.1692 0.8308 0.1692  1 Ir 1.99
N 0.1692 0.1692 0.8308  1 Ir 1.99
N 0.8308 0.1692 0.8308  1 Ir 1.99
O 0.0000 0.5773 0.4227  1 O 1.28
O 0.4227 0.5773 0.0000  1 O 1.28
O 0.0000 0.5773 0.0000  1 O 1.28
O 0.5773 0.0000 0.0000  1 O 1.28
O 0.0000 0.4227 0.0000  1 O 1.28
O 0.5773 0.4227 0.0000  1 O 1.28
O 0.0000 0.0000 0.4227  1 O 1.28
O 0.4227 0.0000 0.0000  1 O 1.28
O 0.0000 0.4227 0.5773  1 O 1.28
O 0.4227 0.0000 0.5773  1 O 1.28
O 0.5773 0.0000 0.4227  1 O 1.28
O 0.0000 0.0000 0.5773  1 O 1.28



# 15
First-principles (GGA-PBE) data for a relaxed TlIrN2O crystal, as listed in Alexandria.

Lattice parameters (Å, degrees): 4.2567 4.2567 4.0738 90.00 90.00 90.00
With the nearest neighbours (Å) after each atom.
Element x y z (fractional)
Tl 0.0000 0.0000 0.0000  2 O 2.04, 4 N 2.13
Ir 0.5000 0.5000 0.5000  8 N 2.95, 4 O 3.01
O 0.0000 0.0000 0.5000  2 Tl 2.04
N 0.0000 0.5000 0.0000  2 Tl 2.13
N 0.5000 0.0000 0.0000  2 Tl 2.13



# 16
First-principles (GGA-PBE) data for a relaxed TlIrN2O crystal, as listed in Alexandria.

Lattice parameters (Å, degrees): 3.8396 3.8396 4.4582 90.00 90.00 90.00
With the nearest neighbours (Å) after each atom.
Element x y z (fractional)
Tl 0.5000 0.5000 0.5000  4 O 2.72, 8 N 2.94
Ir 0.0000 0.0000 0.0000  4 N 1.92
O 0.0000 0.0000 0.5000  2 Ir 2.23
N 0.0000 0.5000 0.0000  2 Ir 1.92
N 0.5000 0.0000 0.0000  2 Ir 1.92



no.,D(E_F) (states/eV/cell),E (eV/cell)
1,2.151,-27.8
2,0.785,-34.1
3,4.917,-20.7
4,2.851,-38.2
5,3.997,-40.3
6,5.256,-35.5
7,4.542,-35.0
8,4.098,-29.2
9,4.539,-25.1
10,2.337,-29.8
11,2.208,-23.3
12,4.068,-36.2
13,3.833,-35.3
14,5.121,-102.9
15,5.118,-20.2
16,4.538,-29.8